[1]
GGA-PBEsol Sr2ZrAs, optimized geometry; energy of formation = -0.39 eV per atom; total energy = -4.855 eV per atom; total magnetic moment = 0.000 μB/cell; calculated volume = 31.4 Å³ per atom; space-group type = P4mm (99)
1.0
-1.3213 -3.0125 -1.7533
2.8154 -2.0279 1.3625
-4.9832 -2.0403 7.2608
As Zr Sr
1 1 2
direct
0.5000 0.5000 0.6651 As
0.0000 0.0000 0.5871 Zr
0.0000 0.0000 0.9368 Sr
0.5000 0.5000 0.3110 Sr

=====

[2]
GGA-PBEsol Sr2ZrAs, optimized geometry; energy of formation = -0.29 eV per atom; total energy = -4.762 eV per atom; total magnetic moment = 0.905 μB/cell; calculated volume = 31.8 Å³ per atom; space-group type = Amm2 (38)
1.0
-3.3199 0.9128 -2.4006
0.7920 -4.0296 -2.6275
-4.0678 -1.2168 5.1630
As Zr Sr
1 1 2
direct
0.5000 0.5551 0.1102 As
0.0000 0.6817 0.3633 Zr
0.0000 0.9803 0.9606 Sr
0.5000 0.2821 0.5643 Sr

=====

[3]
GGA-PBEsol Ta5As, optimized geometry; energy of formation = -0.09 eV per atom; total energy = -11.403 eV per atom; total magnetic moment = 0.000 μB/cell; calculated volume = 17.2 Å³ per atom; relative energy among the computed polymorphs = 25.0 meV per atom; space-group type = C2/m (12)
1.0
-1.7441 -1.2729 -2.5308
3.0962 -4.2337 2.1822
-4.8304 -0.0265 3.3422
Ta As
5 1
direct
0.6262 0.2525 0.7785 Ta
0.9722 0.9444 0.4445 Ta
0.3055 0.6110 0.6272 Ta
0.3182 0.6364 0.1104 Ta
0.6389 0.2779 0.2617 Ta
0.9722 0.9444 0.9444 As

=====

[4]
GGA-PBEsol TaAs2, optimized geometry; energy of formation = 0.33 eV per atom; total energy = -7.254 eV per atom; total magnetic moment = 0.000 μB/cell; calculated volume = 17.2 Å³ per atom; space-group type = P6/mmm (191)
1.0
-0.9858 1.7733 1.8259
-4.3514 -1.0917 -1.2890
2.0829 -2.3782 3.4343
As Ta
2 1
direct
0.0000 0.3333 0.6667 As
0.0000 0.6667 0.3333 As
0.5000 0.0000 0.0000 Ta

=====

[5]
GGA-PBEsol Ta3As, optimized geometry; energy of formation = -0.37 eV per atom; total energy = -11.055 eV per atom; total magnetic moment = 0.000 μB/cell; calculated volume = 16.8 Å³ per atom; space-group type = C2/c (15)
1.0
5.0831 0.0000 0.0000
-2.5415 7.3183 -0.0019
0.0000 -0.1656 14.4808
Ta As
24 8
direct
0.9045 0.3173 0.5044 Ta
0.4128 0.3173 0.0044 Ta
0.2010 0.9029 0.9943 Ta
0.5181 0.4947 0.4092 Ta
0.9368 0.8520 0.3228 Ta
0.5677 0.1331 0.8294 Ta
0.9153 0.8520 0.8228 Ta
0.7019 0.9029 0.4943 Ta
0.4819 0.5053 0.5908 Ta
0.5021 0.4850 0.7978 Ta
0.7990 0.0971 0.0057 Ta
0.0171 0.5150 0.7022 Ta
0.9829 0.4850 0.2978 Ta
0.0955 0.6827 0.4956 Ta
0.0847 0.1480 0.1772 Ta
0.0234 0.5053 0.0908 Ta
0.5655 0.1331 0.3294 Ta
0.4345 0.8669 0.6706 Ta
0.4979 0.5150 0.2022 Ta
0.9766 0.4947 0.9092 Ta
0.4323 0.8669 0.1706 Ta
0.2981 0.0971 0.5057 Ta
0.0632 0.1480 0.6772 Ta
0.5872 0.6827 0.9956 Ta
0.8999 0.7980 0.1412 As
0.4003 0.7726 0.3439 As
0.3723 0.7726 0.8439 As
0.5997 0.2274 0.6561 As
0.1018 0.2020 0.3588 As
0.8982 0.7980 0.6412 As
0.6277 0.2274 0.1561 As
0.1001 0.2020 0.8588 As

=====

[6]
GGA-PBEsol Ta5As, optimized geometry; energy of formation = -0.12 eV per atom; total energy = -11.428 eV per atom; total magnetic moment = 0.000 μB/cell; calculated volume = 17.1 Å³ per atom; relative energy among the computed polymorphs = 0.0 meV per atom; space-group type = Cmmm (65)
1.0
-2.7741 1.5417 1.2148
-2.3915 -1.5354 -3.5125
-0.3484 -4.7342 5.2126
Ta As
5 1
direct
0.5000 0.3356 0.6712 Ta
0.0000 0.1641 0.3281 Ta
0.0000 0.8359 0.6719 Ta
0.5000 0.0000 0.0000 Ta
0.5000 0.6644 0.3288 Ta
0.0000 0.5000 0.0000 As

=====

[7]
GGA-PBEsol TaAs3, optimized geometry; energy of formation = 0.19 eV per atom; total energy = -6.775 eV per atom; total magnetic moment = 0.000 μB/cell; calculated volume = 18.1 Å³ per atom; space-group type = R-3m (166)
1.0
-2.7689 -2.0197 1.4797
1.3967 -2.5183 -3.9630
3.4074 0.2028 3.5137
As Ta
3 1
direct
0.0000 0.0000 0.5000 As
0.5000 0.5000 0.5000 As
0.0000 0.5000 0.0000 As
0.5000 0.0000 0.0000 Ta

=====

[8]
GGA-PBEsol Ta3As, optimized geometry; energy of formation = -0.18 eV per atom; total energy = -10.874 eV per atom; total magnetic moment = 0.000 μB/cell; calculated volume = 17.1 Å³ per atom; space-group type = Cmmm (65)
1.0
2.9357 -0.0007 0.0000
-0.9744 2.7693 0.0000
0.0000 0.0000 8.4291
Ta As
3 1
direct
0.0000 0.0000 0.5000 Ta
0.5000 0.5000 0.2350 Ta
0.5000 0.5000 0.7650 Ta
0.0000 0.0000 0.0000 As